Entry 1:
The following is a DFT calculation (PBE) of a relaxed structure of NdY6Tm.

Calculated values
Polymorph energy (0 for the lowest one) in meV per atom: 0

Cell lengths 8.6572, 9.6418, 6.4788 Å; angles 41.93, 48.07, 56.15 degrees
With the nearest neighbours (Å) after each atom.
Fractional coordinates of all 8 atoms:
Y  0.5426  0.7528  0.6603  4 Y 3.31-3.38, 1 Tm 3.52, 1 Nd 3.53
Y  0.0443  0.5425  0.1660  4 Y 3.31-3.38, 1 Tm 3.52, 1 Nd 3.53
Y  0.9557  0.4575  0.8340  4 Y 3.31-3.38, 1 Tm 3.52, 1 Nd 3.53
Y  0.2472  0.0447  0.2509  4 Y 3.31-3.38, 1 Tm 3.52, 1 Nd 3.53
Y  0.4574  0.2472  0.3397  4 Y 3.31-3.38, 1 Tm 3.52, 1 Nd 3.53
Y  0.7528  0.9553  0.7491  4 Y 3.31-3.38, 1 Tm 3.52, 1 Nd 3.53
Tm  0.0000  0.0000  0.0000  12 Y 3.52-3.76
Nd  0.5000  0.5000  0.5000  12 Y 3.53-3.78

Entry 2:
The following is a DFT calculation (PBE) of a relaxed structure of AcPuTh2.

Calculated values
Polymorph energy (0 for the lowest one) in meV per atom: 25

Cell lengths 5.1376, 5.0603, 5.0603 Å; angles 90.00, 90.00, 90.00 degrees
With the nearest neighbours (Å) after each atom.
Fractional coordinates of all 4 atoms:
Th  0.0000  0.5000  0.0000  4 Th 3.58, 4 Ac 3.61, 4 Pu 3.61
Th  0.0000  0.0000  0.5000  4 Th 3.58, 4 Pu 3.61, 4 Ac 3.61
Pu  0.5000  0.5000  0.5000  4 Ac 3.58, 8 Th 3.61
Ac  0.5000  0.0000  0.0000  4 Pu 3.58, 8 Th 3.61

Entry 3:
The following is a DFT calculation (PBE) of a relaxed structure of LiFeCo.

Calculated values
Polymorph energy (0 for the lowest one) in meV per atom: 1

Cell lengths 4.7850, 2.4210, 7.4747 Å; angles 106.30, 56.71, 98.44 degrees
With the nearest neighbours (Å) after each atom.
Fractional coordinates of all 6 atoms:
Li  0.5474  0.0998  0.1696  4 Li 2.42-2.65, 3 Co 2.45-2.59, 2 Fe 2.48-2.49
Li  0.0272  0.5449  0.8417  4 Li 2.42-2.65, 3 Co 2.45-2.59, 2 Fe 2.48-2.49
Co  0.5199  0.0459  0.8289  2 Fe 2.41-2.42, 3 Co 2.42-2.48, 3 Li 2.45-2.59
Co  0.0546  0.5990  0.1824  2 Fe 2.41-2.42, 3 Co 2.42-2.48, 3 Li 2.45-2.59
Fe  0.5438  0.0725  0.5002  2 Co 2.41-2.42, 4 Fe 2.42-2.54, 2 Li 2.48-2.49
Fe  0.0310  0.5726  0.5110  2 Co 2.41-2.42, 4 Fe 2.42-2.54, 2 Li 2.48-2.49

Entry 4:
The following is a DFT calculation (PBE) of a relaxed structure of Be2HgAsP.

Cell lengths 4.0933, 5.9042, 4.0933 Å; angles 90.00, 90.00, 90.00 degrees
With the nearest neighbours (Å) after each atom.
Fractional coordinates of all 5 atoms:
Be  0.5000  0.0000  0.0000  2 As 2.05
Be  0.0000  0.0000  0.5000  2 As 2.05
P  0.5000  0.5000  0.5000  4 Hg 2.89
As  0.0000  0.0000  0.0000  4 Be 2.05
Hg  0.0000  0.5000  0.0000  4 P 2.89, 2 As 2.95

Entry 5:
The following is a DFT calculation (PBE) of a relaxed structure of Ce2Al3Ge2.

Cell lengths 4.1527, 3.8838, 9.8974 Å; angles 101.32, 90.00, 90.00 degrees
With the nearest neighbours (Å) after each atom.
Fractional coordinates of all 7 atoms:
Ce  0.0000  0.8375  0.6750  6 Ge 2.97-3.29, 1 Al 3.15
Ce  0.0000  0.1625  0.3250  6 Ge 2.97-3.29, 1 Al 3.15
Al  0.5000  0.4321  0.8642  1 Al 2.63, 1 Ge 2.68
Al  0.5000  0.5679  0.1358  1 Al 2.63, 1 Ge 2.68
Al  0.0000  0.0000  0.0000  8 Al 3.13, 2 Ce 3.15
Ge  0.5000  0.7060  0.4121  2 Ge 2.59, 1 Al 2.68
Ge  0.5000  0.2940  0.5879  2 Ge 2.59, 1 Al 2.68

Entry 6:
The following is a DFT calculation (PBE) of a relaxed structure of BeAlMo.

Calculated values
Polymorph energy (0 for the lowest one) in meV per atom: 209

Cell lengths 6.2550, 6.0963, 2.6900 Å; angles 80.74, 74.14, 25.12 degrees
With the nearest neighbours (Å) after each atom.
Fractional coordinates of all 3 atoms:
Be  0.3317  0.3317  0.6683  2 Mo 2.45, 2 Al 2.50, 4 Be 2.69
Al  0.9930  0.9930  0.0070  2 Be 2.50, 2 Mo 2.69, 4 Al 2.69
Mo  0.6754  0.6754  0.3246  2 Be 2.45, 2 Al 2.69, 4 Mo 2.69

We obtain E_tot values of -5.850, -8.121, -5.702, -2.743, -4.916, -5.959 eV per atom for the records listed above, in that order.